A relaxed structure of KTlNiBi2. Source: the Alexandria database, functional PBE.

Summary:
- Space group: No. 123
- M_tot: 0.000 μB/cell
- DFT formation energy: 10 meV/atom
- Density of states at the Fermi level: 0.74 states/eV per atom
- Uncorrected energy: -0.125 Ha/atom

The structure in CIF format:
```
data_KTlNiBi2
_cell_length_a 5.378
_cell_length_b 5.378
_cell_length_c 5.232
_cell_angle_alpha 90.00
_cell_angle_beta 90.00
_cell_angle_gamma 90.00
_symmetry_space_group_name_H-M 'P 1'
_symmetry_Int_Tables_number 1
_symmetry_space_group_name_Hall 'P 1'
loop_
_atom_site_label
_atom_site_type_symbol
_atom_site_fract_x
_atom_site_fract_y
_atom_site_fract_z
Tl1 Tl 0.000 0.000 0.500
K1 K 0.500 0.500 0.500
Ni1 Ni 0.000 0.000 0.000
Bi1 Bi 0.500 0.000 0.000
Bi2 Bi 0.000 0.500 0.000
```